## NaNi2H3S2O10 (PBE+U)

Data for a geometry-optimized NaNi2H3S2O10 structure.

## Properties
excess energy over the best structure of this formula in the dataset = 0.335 eV per atom
density = 2.725 g/cm3
total moment = 0.22 μB per atom
symmetry = Cm (8)
density of states at the Fermi level = 0.000 states/eV/cell

Cell lengths 7.859, 7.859, 5.558 Å; angles 70.12, 70.12, 44.56 degrees
Site moments in Bohr magnetons follow the coordinates.
Sites, in units of the cell vectors:
Na 0.490 0.490 0.524  0.00
Ni 0.481 0.993 0.020  1.70
Ni 0.993 0.481 0.020  1.70
H 0.073 0.073 0.118  0.00
H 0.604 0.604 0.014  0.00
H 0.907 0.907 0.930  0.00
S 0.112 0.112 0.659  0.00
S 0.878 0.878 0.350  0.00
O 0.289 0.289 0.174  0.19
O 0.647 0.647 0.114  0.05
O 0.140 0.140 0.983  0.07
O 0.732 0.140 0.317  0.00
O 0.846 0.253 0.705  0.00
O 0.140 0.732 0.317  0.00
O 0.253 0.846 0.705  0.00
O 0.843 0.843 0.080  0.04
O 0.336 0.336 0.882  0.14
O 0.782 0.782 0.562  0.01